Here is crystalline Ag2WCl at its relaxed geometry from Alexandria. Energies are from GGA-PBE.

Unit cell a=5.5131 b=5.5131 c=2.8009 alpha=89.98 beta=89.98 gamma=123.27
Closest atoms and distances in Å follow each position.
Sites, in units of the cell vectors:
1 Ag 0.5000 0.5000 0.0000  4 Ag 2.62-2.80
2 Ag 0.0000 0.0000 0.0000  4 Ag 2.62-2.80
3 Cl 0.5000 0.0000 0.5000  2 W 2.62, 2 Cl 2.80
4 W 0.0000 0.5000 0.5000  2 Cl 2.62, 2 W 2.80

**Total DFT energy (no corrections)**: -17.69 eV per cell
**Magnetization**: 0.6 μB/f.u.
**N(E_F)**: 2.912 states/eV per cell
**Raw formation energy**: 0.7022 eV per atom